CsHg3WSe4 (GGA-PBE, optimized geometry); total magnetization = 0.000 μB per atom; space-group type = No. 215; crystal system = cubic; final energy = -30.63 eV for the cell shown
1.0
7.4137 0.0000 0.0000
0.0000 7.4137 0.0000
0.0000 0.0000 7.4137
Cs Hg W Se
1 3 1 4
Direct
0.0000 0.0000 0.0000
0.0000 0.5000 0.5000
0.5000 0.0000 0.5000
0.5000 0.5000 0.0000
0.5000 0.5000 0.5000
0.3161 0.3161 0.3161
0.3161 0.6839 0.6839
0.6839 0.3161 0.6839
0.6839 0.6839 0.3161